Record 1
This record from Alexandria via LeMat-Bulk describes a relaxed structure of Ba6Ca2TaRu3O18. The functional is PBEsol.

Summary:
N(E_F) in states/eV per atom: 0.13
Spin magnetization in μB per formula unit: 9.06
ΔE_f (raw) in kJ/mol of atoms: -226

The structure in POSCAR format:
```
Ba6Ca2TaRu3O18
1.0
-5.6048 0.1257 -1.8499
2.1255 -4.8271 2.6519
-4.1909 5.3290 13.0592
Ba Ca Ta Ru O
6 2 1 3 18
Direct
0.0000 0.0000 0.3898 Ba
0.3333 0.6667 0.5890 Ba
0.3333 0.6667 0.8972 Ba
0.0000 0.0000 0.0887 Ba
0.6667 0.3333 0.2467 Ba
0.6667 0.3333 0.7522 Ba
0.6667 0.3333 0.4983 Ca
0.6667 0.3333 0.0002 Ca
0.0000 0.0000 0.6558 Ta
0.3333 0.6667 0.3420 Ru
0.3333 0.6667 0.1576 Ru
0.0000 0.0000 0.8442 Ru
0.8382 0.1618 0.5931 O
0.8382 0.6765 0.5931 O
0.3235 0.1618 0.5931 O
0.4890 0.5110 0.4099 O
0.4890 0.9779 0.4099 O
0.0221 0.5110 0.4099 O
0.4908 0.5092 0.0922 O
0.4908 0.9816 0.0922 O
0.0184 0.5092 0.0922 O
0.8445 0.1555 0.9131 O
0.8445 0.6890 0.9131 O
0.3110 0.1555 0.9131 O
0.1832 0.8168 0.2504 O
0.1832 0.3663 0.2504 O
0.6337 0.8168 0.2504 O
0.1509 0.8491 0.7541 O
0.1509 0.3019 0.7541 O
0.6981 0.8491 0.7541 O
```

***

Record 2
This record from Alexandria via LeMat-Bulk describes a relaxed structure of BaSrCaWO6. The functional is PBEsol.

Summary:
N(E_F) in states/eV per atom: 0.00
Spin magnetization in μB per formula unit: 0.00
ΔE_f (raw) in kJ/mol of atoms: -272

The structure in POSCAR format:
```
BaSrCaWO6
1.0
-4.0800 -2.6428 3.2191
0.3004 -1.0517 -5.7269
5.6403 -1.5634 0.6260
Ba Sr Ca W O
1 1 1 1 6
Direct
0.0025 0.7515 0.7540 Ba
0.9855 0.2487 0.2342 Sr
0.4988 0.0016 0.5003 Ca
0.5004 0.5001 0.0005 W
0.5256 0.7807 0.8232 O
0.9598 0.6822 0.1947 O
0.5126 0.2350 0.1947 O
0.0425 0.2976 0.8232 O
0.4133 0.2744 0.6877 O
0.5592 0.7282 0.2873 O
```

***

Record 3
This record from Alexandria via LeMat-Bulk describes a relaxed structure of Ba8Sr3CaW4O24. The functional is PBEsol.

Summary:
N(E_F) in states/eV per atom: 0.00
Spin magnetization in μB per formula unit: 0.00
ΔE_f (raw) in kJ/mol of atoms: -267

The structure in POSCAR format:
```
Ba8Sr3CaW4O24
1.0
5.9707 -0.0043 0.0117
-0.0089 10.3997 -0.0009
3.0017 1.6405 9.9713
Ba Sr Ca W O
8 3 1 4 24
Direct
0.6865 0.0623 0.1310 Ba
0.9399 0.8066 0.6283 Ba
0.1809 0.5619 0.1349 Ba
0.4404 0.3176 0.6222 Ba
0.5596 0.6824 0.3778 Ba
0.8191 0.4381 0.8651 Ba
0.0601 0.1934 0.3717 Ba
0.3135 0.9377 0.8690 Ba
0.2511 0.2490 0.9991 Sr
0.5000 0.0000 0.5000 Sr
0.7489 0.7510 0.0009 Sr
0.0000 0.5000 0.5000 Ca
0.6210 0.3779 0.2517 W
0.8772 0.1274 0.7471 W
0.1228 0.8726 0.2529 W
0.3790 0.6221 0.7483 W
0.1710 0.5745 0.6485 O
0.4043 0.3305 0.1604 O
0.6427 0.0838 0.6652 O
0.8927 0.8287 0.1679 O
0.6475 0.5796 0.6075 O
0.8815 0.3375 0.1093 O
0.1208 0.0777 0.6016 O
0.3655 0.8246 0.1043 O
0.3586 0.4453 0.8386 O
0.6038 0.2004 0.3440 O
0.8542 0.9501 0.8419 O
0.0960 0.6952 0.3503 O
0.5957 0.6695 0.8396 O
0.8290 0.4255 0.3515 O
0.1073 0.1713 0.8321 O
0.3573 0.9162 0.3348 O
0.1185 0.6625 0.8907 O
0.3525 0.4204 0.3925 O
0.6345 0.1754 0.8957 O
0.8792 0.9223 0.3984 O
0.3962 0.7996 0.6560 O
0.6414 0.5547 0.1614 O
0.9040 0.3048 0.6497 O
0.1458 0.0499 0.1581 O
```